# 1
ZrAlHg2: optimized geometry, PBEsol.

The value obtained for the calculated density is 11.14 g/cm3. The value obtained for the volume is 19.351 Å³ per atom. The density of states at the Fermi level is 1.4 states/eV/f.u. For the formation energy from the elements, the calculation gives -303.8 meV/atom.

a b c (Å): 4.225 4.225 4.336
angles (deg): 90.00 90.00 90.00
Sites, in units of the cell vectors:
Zr 0.000 0.000 0.000
Al 0.500 0.500 0.000
Hg 0.000 0.500 0.500
Hg 0.500 0.000 0.500

# 2
HfI4: optimized geometry, PBEsol.

The value obtained for the calculated density is 5.75 g/cm3. As for the formation energy without anion corrections: -0.86 eV per atom. The value obtained for the volume is 39.626 Å³ per atom. The density of states at the Fermi level is 0.0 states/eV/f.u.

a b c (Å): 7.966 7.966 7.006
angles (deg): 90.70 90.70 63.06
Sites, in units of the cell vectors:
Hf 0.154 0.846 0.750
Hf 0.846 0.154 0.250
I 0.005 0.230 0.921
I 0.230 0.005 0.421
I 0.238 0.506 0.598
I 0.494 0.762 0.902
I 0.506 0.238 0.098
I 0.762 0.494 0.402
I 0.770 0.995 0.579
I 0.995 0.770 0.079

# 3
PmErAl2: optimized geometry, PBEsol.

The value obtained for the calculated density is 6.61 g/cm3. The value obtained for the volume is 23.014 Å³ per atom. The density of states at the Fermi level is 1.4 states/eV/f.u. For the formation energy from the elements, the calculation gives -382.1 meV/atom.

a b c (Å): 5.068 5.068 5.068
angles (deg): 60.00 60.00 60.00
Sites, in units of the cell vectors:
Pm 0.000 0.000 0.000
Er 0.500 0.500 0.500
Al 0.250 0.250 0.250
Al 0.750 0.750 0.750

# 4
Al2CoIr: optimized geometry, PBEsol.

The value obtained for the calculated density is 10.18 g/cm3. The value obtained for the volume is 12.438 Å³ per atom. The density of states at the Fermi level is 1.4 states/eV/f.u. For the formation energy from the elements, the calculation gives -787.0 meV/atom.

a b c (Å): 4.128 4.128 4.128
angles (deg): 60.00 60.00 60.00
Sites, in units of the cell vectors:
Al 0.250 0.250 0.250
Al 0.750 0.750 0.750
Co 0.000 0.000 0.000
Ir 0.500 0.500 0.500

# 5
IrWAu: optimized geometry, PBEsol.

The value obtained for the calculated density is 20.79 g/cm3. The value obtained for the volume is 15.254 Å³ per atom. The density of states at the Fermi level is 1.7 states/eV/f.u. For the formation energy from the elements, the calculation gives 21.0 meV/atom.

a b c (Å): 4.819 4.819 4.819
angles (deg): 146.04 132.37 59.78
Sites, in units of the cell vectors:
Ir 0.000 0.000 0.000
W 0.348 0.348 0.000
Au 0.675 0.675 0.000

# 6
TcPbC3: optimized geometry, PBEsol.

The value obtained for the calculated density is 8.47 g/cm3. The value obtained for the volume is 13.372 Å³ per atom. The density of states at the Fermi level is 3.5 states/eV/f.u. For the formation energy from the elements, the calculation gives 1695.9 meV/atom.

a b c (Å): 4.059 4.059 4.059
angles (deg): 90.00 90.00 90.00
Sites, in units of the cell vectors:
Tc 0.000 0.000 0.000
Pb 0.500 0.500 0.500
C 0.000 0.000 0.500
C 0.000 0.500 0.000
C 0.500 0.000 0.000

# 7
TlF3: optimized geometry, PBEsol.

The value obtained for the calculated density is 8.64 g/cm3. As for the formation energy without anion corrections: -1.80 eV per atom. The value obtained for the volume is 12.563 Å³ per atom.

a b c (Å): 5.900 7.028 4.847
angles (deg): 90.00 90.00 90.00
Sites, in units of the cell vectors:
Tl 0.129 0.250 0.040
Tl 0.371 0.750 0.540
Tl 0.629 0.250 0.460
Tl 0.871 0.750 0.960
F 0.035 0.750 0.369
F 0.162 0.567 0.839
F 0.162 0.933 0.839
F 0.338 0.067 0.339
F 0.338 0.433 0.339
F 0.465 0.250 0.869
F 0.535 0.750 0.131
F 0.662 0.567 0.661
F 0.662 0.933 0.661
F 0.838 0.067 0.161
F 0.838 0.433 0.161
F 0.965 0.250 0.631

# 8
CoRh: optimized geometry, PBEsol.

The value obtained for the calculated density is 11.18 g/cm3. The value obtained for the volume is 12.020 Å³ per atom. The density of states at the Fermi level is 3.0 states/eV/f.u. For the formation energy from the elements, the calculation gives 80.7 meV/atom.

a b c (Å): 2.603 3.576 7.748
angles (deg): 90.00 90.00 90.00
Sites, in units of the cell vectors:
Co 0.000 0.000 0.000
Co 0.000 0.000 0.332
Co 0.500 0.500 0.486
Rh 0.000 0.000 0.652
Rh 0.500 0.500 0.167
Rh 0.500 0.500 0.832

# 9
La2W: optimized geometry, PBEsol.

The value obtained for the calculated density is 10.65 g/cm3. The value obtained for the volume is 23.991 Å³ per atom. The density of states at the Fermi level is 4.4 states/eV/f.u. For the formation energy from the elements, the calculation gives 690.5 meV/atom.

a b c (Å): 5.571 5.571 5.571
angles (deg): 148.14 127.20 63.00
Sites, in units of the cell vectors:
La 0.158 0.158 0.000
La 0.842 0.842 0.000
W 0.500 0.500 0.000

# 10
LiCrO3: optimized geometry, PBEsol.

The value obtained for the calculated density is 3.75 g/cm3. As for the formation energy without anion corrections: -1.74 eV per atom. The value obtained for the volume is 9.470 Å³ per atom. The density of states at the Fermi level is 0.6 states/eV/f.u.

a b c (Å): 3.618 3.618 3.618
angles (deg): 90.00 90.00 90.00
Sites, in units of the cell vectors:
Li 0.000 0.000 0.000
Cr 0.500 0.500 0.500
O 0.000 0.500 0.500
O 0.500 0.000 0.500
O 0.500 0.500 0.000

# 11
LiY3Ir: optimized geometry, PBEsol.

The value obtained for the calculated density is 6.80 g/cm3. The value obtained for the volume is 22.758 Å³ per atom. The density of states at the Fermi level is 6.6 states/eV/f.u. For the formation energy from the elements, the calculation gives 739.2 meV/atom.

a b c (Å): 4.846 4.846 4.846
angles (deg): 90.00 90.00 90.00
Sites, in units of the cell vectors:
Li 0.000 0.000 0.000
Y 0.000 0.000 0.500
Y 0.000 0.500 0.000
Y 0.500 0.000 0.000
Ir 0.500 0.500 0.500

# 12
BaFeCu2: optimized geometry, PBEsol.

The value obtained for the calculated density is 6.59 g/cm3. The value obtained for the volume is 20.171 Å³ per atom. The density of states at the Fermi level is 4.5 states/eV/f.u. For the formation energy from the elements, the calculation gives 826.4 meV/atom.

a b c (Å): 4.850 4.850 4.850
angles (deg): 60.00 60.00 60.00
Sites, in units of the cell vectors:
Ba 0.000 0.000 0.000
Fe 0.500 0.500 0.500
Cu 0.250 0.250 0.250
Cu 0.750 0.750 0.750